# 1
Material: Pm2ErAs
Method: DFT, PBE
State: relaxed Values from VASP.

Computed properties:
Crystal system: trigonal
Space-group type: No. 166
Energy relative to the lowest polymorph listed for this composition (eV/atom): 0.0000

Geometry as Quantum ESPRESSO input:
```
&SYSTEM
  ibrav = 0, nat = 4, ntyp = 3
/
ATOMIC_SPECIES
Pm 145.00 Pm.upf
Er 167.26 Er.upf
As 74.92 As.upf
CELL_PARAMETERS angstrom
1.976 1.141 9.484
-1.976 1.141 9.484
0.000 -2.282 9.484
ATOMIC_POSITIONS crystal
Pm 0.229 0.229 0.229
Pm 0.771 0.771 0.771
Er 0.000 0.000 0.000
As 0.500 0.500 0.500
```

***

# 2
Material: PmEr3As4
Method: DFT, PBE
State: relaxed Values from VASP.

Computed properties:
Crystal system: cubic
Space-group type: No. 221
Total DFT energy (no corrections) (eV per atom): -6.14

Geometry as Quantum ESPRESSO input:
```
&SYSTEM
  ibrav = 0, nat = 8, ntyp = 3
/
ATOMIC_SPECIES
Pm 145.00 Pm.upf
Er 167.26 Er.upf
As 74.92 As.upf
CELL_PARAMETERS angstrom
5.830 0.000 0.000
0.000 5.830 0.000
0.000 0.000 5.830
ATOMIC_POSITIONS crystal
Pm 0.000 0.000 0.000
Er 0.000 0.500 0.500
Er 0.500 0.000 0.500
Er 0.500 0.500 0.000
As 0.000 0.000 0.500
As 0.000 0.500 0.000
As 0.500 0.000 0.000
As 0.500 0.500 0.500
```

***

# 3
Material: PmPr2ErAs4
Method: DFT, PBE
State: relaxed Values from VASP.

Computed properties:
Crystal system: monoclinic
Space-group type: No. 10
Total DFT energy (no corrections) (eV per atom): -6.19

Geometry as Quantum ESPRESSO input:
```
&SYSTEM
  ibrav = 0, nat = 8, ntyp = 4
/
ATOMIC_SPECIES
Pm 145.00 Pm.upf
Pr 140.91 Pr.upf
Er 167.26 Er.upf
As 74.92 As.upf
CELL_PARAMETERS angstrom
7.333 0.000 0.000
0.000 4.239 0.000
-2.445 0.000 6.916
ATOMIC_POSITIONS crystal
Pm 0.000 0.000 0.000
Pr 0.500 0.000 0.500
Pr 0.500 0.500 0.000
Er 0.000 0.500 0.500
As 0.240 0.000 0.742
As 0.243 0.500 0.252
As 0.757 0.500 0.748
As 0.760 0.000 0.258
```

***

# 4
Material: PmPr2Er3As6
Method: DFT, PBE
State: relaxed Values from VASP.

Computed properties:
Crystal system: monoclinic
Space-group type: No. 12
Total DFT energy (no corrections) (eV per atom): -6.16

Geometry as Quantum ESPRESSO input:
```
&SYSTEM
  ibrav = 0, nat = 12, ntyp = 4
/
ATOMIC_SPECIES
Pm 145.00 Pm.upf
Pr 140.91 Pr.upf
Er 167.26 Er.upf
As 74.92 As.upf
CELL_PARAMETERS angstrom
9.115 -2.094 0.000
9.115 2.094 0.000
-1.905 0.000 8.144
ATOMIC_POSITIONS crystal
Pm 0.000 0.000 0.000
Pr 0.334 0.334 0.667
Pr 0.666 0.666 0.333
Er 0.000 0.000 0.500
Er 0.333 0.333 0.166
Er 0.667 0.667 0.834
As 0.164 0.164 0.591
As 0.169 0.169 0.075
As 0.497 0.497 0.255
As 0.503 0.503 0.745
As 0.831 0.831 0.925
As 0.836 0.836 0.409
```

***

no.,spin magnetization (μB per formula unit),DOS(E_F) (states/eV/cell)
1,1.1,5.254
2,0.0,0.688
3,0.0,0.698
4,0.0,1.840